(1)
# LaInAg, relaxed, DFT PBE-GGA
data_LaInAg
_cell_length_a 3.620
_cell_length_b 3.620
_cell_length_c 11.915
_cell_angle_alpha 90.00
_cell_angle_beta 90.00
_cell_angle_gamma 90.00
_space_group_name_H-M_alt 'I 4 m m'
_space_group_IT_number 107
_space_group_name_Hall 'I 4 -2'
loop_
_atom_site_label
_atom_site_type_symbol
_atom_site_fract_x
_atom_site_fract_y
_atom_site_fract_z
La1 La 0.000 0.000 0.000
In1 In 0.000 0.000 0.693
Ag1 Ag 0.000 0.000 0.322
# Calculated formation energy in eV per atom: -0.274

(2)
This record from the Alexandria database describes a geometry-optimized CaZrH2 structure. The functional is PBE-GGA.

Structure (CIF):
```
data_CaZrH2
_cell_length_a 5.163
_cell_length_b 5.163
_cell_length_c 9.408
_cell_angle_alpha 90.00
_cell_angle_beta 90.00
_cell_angle_gamma 90.00
_space_group_name_H-M_alt 'I -4 2 d'
_space_group_IT_number 122
_space_group_name_Hall 'I -4 2bw'
loop_
_atom_site_label
_atom_site_type_symbol
_atom_site_fract_x
_atom_site_fract_y
_atom_site_fract_z
Ca1 Ca 0.000 0.000 0.000
Zr1 Zr 0.000 0.000 0.500
H1 H 0.201 0.250 0.625
```

(3)
# Ba2Hg3Rh, relaxed, DFT PBE-GGA
data_Ba2Hg3Rh
_cell_length_a 8.727
_cell_length_b 10.125
_cell_length_c 16.961
_cell_angle_alpha 90.00
_cell_angle_beta 90.00
_cell_angle_gamma 90.00
_space_group_name_H-M_alt 'F m m m'
_space_group_IT_number 69
_space_group_name_Hall '-F 2 2'
loop_
_atom_site_label
_atom_site_type_symbol
_atom_site_fract_x
_atom_site_fract_y
_atom_site_fract_z
Ba1 Ba 0.247 0.000 0.000
Ba2 Ba 0.250 0.250 0.250
Hg1 Hg 0.000 0.000 0.321
Hg2 Hg 0.000 0.243 0.088
Rh1 Rh 0.000 0.000 0.159
# Calculated formation energy in eV per atom: -0.372

(4)
# NbIn2Br2, relaxed, DFT PBE-GGA
data_NbIn2Br2
_cell_length_a 3.814
_cell_length_b 3.814
_cell_length_c 20.116
_cell_angle_alpha 90.00
_cell_angle_beta 90.00
_cell_angle_gamma 90.00
_space_group_name_H-M_alt 'I 4/m m m'
_space_group_IT_number 139
_space_group_name_Hall '-I 4 2'
loop_
_atom_site_label
_atom_site_type_symbol
_atom_site_fract_x
_atom_site_fract_y
_atom_site_fract_z
Nb1 Nb 0.000 0.000 0.000
In1 In 0.000 0.000 0.427
Br1 Br 0.000 0.500 0.250
# Formation energy without anion corrections in eV/f.u.: 2.81

no.,calculated total energy (eV per atom)
1,-3.780
2,-4.534
3,-2.389
4,-3.217